DFT (GGA+U) results for Mn3Al5O12 after structural relaxation.

Results
Its space group is Ia-3d. The total energy comes out at -588.1 eV/cell. As for the calculated volume: 10.30 Å³ per atom. For the magnetization, the calculation gives 12.000 μB per formula unit.

a = 10.2291 Å, b = 10.2291 Å, c = 10.2291 Å
α = 109.47°, β = 109.47°, γ = 109.47°
Fractional positions:
O (0.3701, 0.9758, 0.8007)
Mn (0.8750, 0.1250, 0.2500)
O (0.9758, 0.3701, 0.3007)
O (0.8701, 0.3007, 0.4758)
O (0.1057, 0.1752, 0.4758)
Mn (0.1250, 0.8750, 0.7500)
O (0.3701, 0.3943, 0.0695)
O (0.1299, 0.4305, 0.1057)
O (0.9305, 0.1057, 0.6299)
O (0.1752, 0.1057, 0.9758)
O (0.3248, 0.8007, 0.4305)
O (0.6752, 0.1993, 0.5695)
O (0.3007, 0.8701, 0.9758)
Al (0.8750, 0.6250, 0.7500)
Al (0.7500, 0.1250, 0.8750)
O (0.3943, 0.3701, 0.5695)
Al (0.5000, 0.0000, 0.5000)
O (0.6993, 0.1299, 0.0242)
Al (0.0000, 0.0000, 0.5000)
O (0.8943, 0.0695, 0.8701)
O (0.8248, 0.9305, 0.3007)
Mn (0.6250, 0.2500, 0.3750)
Al (0.2500, 0.8750, 0.1250)
O (0.6057, 0.9758, 0.6752)
Al (0.3750, 0.1250, 0.7500)
O (0.5242, 0.3248, 0.8943)
Al (0.0000, 0.5000, 0.5000)
O (0.5695, 0.6993, 0.6752)
O (0.1752, 0.0695, 0.6993)
O (0.3007, 0.4305, 0.8248)
Al (0.5000, 0.5000, 0.0000)
Mn (0.7500, 0.8750, 0.6250)
O (0.0695, 0.1752, 0.1993)
O (0.8701, 0.5695, 0.8943)
Mn (0.2500, 0.6250, 0.8750)
Mn (0.1250, 0.2500, 0.8750)
Mn (0.7500, 0.3750, 0.1250)
O (0.6299, 0.0242, 0.1993)
O (0.0242, 0.3943, 0.8248)
O (0.3248, 0.5242, 0.3943)
Al (0.8750, 0.2500, 0.6250)
O (0.4758, 0.6752, 0.1057)
O (0.0242, 0.6299, 0.6993)
Al (0.7500, 0.6250, 0.3750)
Al (0.0000, 0.5000, 0.0000)
O (0.6752, 0.4758, 0.6057)
Al (0.2500, 0.3750, 0.6250)
O (0.4758, 0.8007, 0.8701)
Al (0.6250, 0.7500, 0.8750)
O (0.1299, 0.6993, 0.5242)
Al (0.1250, 0.7500, 0.3750)
O (0.8007, 0.3248, 0.9305)
O (0.5695, 0.8701, 0.3943)
Al (0.0000, 0.0000, 0.0000)
Al (0.5000, 0.0000, 0.0000)
Mn (0.3750, 0.6250, 0.2500)
O (0.8943, 0.8248, 0.5242)
O (0.6299, 0.6057, 0.9305)
O (0.9305, 0.8248, 0.8007)
O (0.8007, 0.4758, 0.3701)
O (0.1057, 0.9305, 0.1299)
O (0.9758, 0.6057, 0.1752)
O (0.0695, 0.8943, 0.3701)
Mn (0.8750, 0.7500, 0.1250)
Al (0.6250, 0.8750, 0.2500)
O (0.4305, 0.3007, 0.3248)
Mn (0.6250, 0.3750, 0.7500)
O (0.1993, 0.6752, 0.0695)
O (0.6993, 0.5695, 0.1752)
O (0.4305, 0.1299, 0.6057)
Al (0.1250, 0.3750, 0.2500)
O (0.8248, 0.8943, 0.0242)
O (0.5242, 0.1993, 0.1299)
O (0.1993, 0.5242, 0.6299)
Al (0.5000, 0.5000, 0.5000)
O (0.6057, 0.6299, 0.4305)
Al (0.3750, 0.2500, 0.1250)
Mn (0.2500, 0.1250, 0.3750)
O (0.3943, 0.0242, 0.3248)
Mn (0.3750, 0.7500, 0.6250)